# 1
ZrAlNi | meta-GGA SCAN | single point on PBEsol structure

M_tot   0.0 μB per formula unit
Crystal system   orthorhombic
DFT formation energy   -1.986 eV/f.u.

Structure (POSCAR):
```
ZrAlNi
1.0
1.9800 -4.5405 0.0000
1.9800 4.5405 0.0000
0.0000 0.0000 5.1997
Zr Al Ni
2 2 2
direct
0.2024 0.7976 0.7500 Zr
0.7976 0.2024 0.2500 Zr
0.5000 0.5000 0.0000 Al
0.5000 0.5000 0.5000 Al
0.0966 0.9034 0.2500 Ni
0.9034 0.0966 0.7500 Ni
```

---

# 2
Li2Ni2S3O12 | meta-GGA SCAN | single point on PBEsol structure

M_tot   4.1 μB per formula unit
ΔE_f (raw)   -1.7458 eV/atom
Crystal system   monoclinic

Structure (POSCAR):
```
Li2Ni2S3O12
1.0
6.3475 -4.1999 0.0000
6.3475 4.1999 0.0000
-3.7764 0.0000 7.7333
Li Ni S O
4 4 6 24
direct
0.1383 0.3218 0.0491 Li
0.3218 0.1383 0.5491 Li
0.6782 0.8617 0.4509 Li
0.8617 0.6782 0.9509 Li
0.1258 0.6266 0.4818 Ni
0.3734 0.8742 0.0182 Ni
0.6266 0.1258 0.9818 Ni
0.8742 0.3734 0.5182 Ni
0.0606 0.9394 0.2500 S
0.2526 0.4621 0.8242 S
0.4621 0.2526 0.3242 S
0.5379 0.7474 0.6758 S
0.7474 0.5379 0.1758 S
0.9394 0.0606 0.7500 S
0.0490 0.1295 0.3895 O
0.0961 0.7743 0.3178 O
0.1232 0.5081 0.9331 O
0.1295 0.0490 0.8895 O
0.1318 0.4595 0.6368 O
0.2257 0.9039 0.1822 O
0.2548 0.3845 0.3096 O
0.3631 0.6034 0.8846 O
0.3845 0.2548 0.8096 O
0.3966 0.6369 0.6154 O
0.4595 0.1318 0.1368 O
0.4919 0.8768 0.5669 O
0.5081 0.1232 0.4331 O
0.5405 0.8682 0.8632 O
0.6034 0.3631 0.3846 O
0.6155 0.7452 0.1904 O
0.6369 0.3966 0.1154 O
0.7452 0.6155 0.6904 O
0.7743 0.0961 0.8178 O
0.8682 0.5405 0.3632 O
0.8705 0.9510 0.1105 O
0.8768 0.4919 0.0669 O
0.9039 0.2257 0.6822 O
0.9510 0.8705 0.6105 O
```

---

# 3
KLaHf3 | meta-GGA SCAN | single point on PBEsol structure

M_tot   0.0 μB per formula unit
Crystal system   cubic
DFT formation energy   7.795 eV/f.u.

Structure (POSCAR):
```
KLaHf3
1.0
5.3049 0.0000 0.0000
0.0000 5.3049 0.0000
0.0000 0.0000 5.3049
K La Hf
1 1 3
direct
0.0000 0.0000 0.0000 K
0.5000 0.5000 0.5000 La
0.0000 0.5000 0.5000 Hf
0.5000 0.0000 0.5000 Hf
0.5000 0.5000 0.0000 Hf
```